Material: SrNi2AsO
Method: DFT, GGA+U
State: relaxed

a = 4.5598 Å, b = 4.5598 Å, c = 5.7529 Å
α = 90.00°, β = 90.00°, γ = 90.00°
Fractional positions:
Sr: 0.0000 0.0000 0.0000
Ni: 0.0000 0.5000 0.0000
Ni: 0.5000 0.0000 0.0000
As: 0.0000 0.0000 0.5000
O: 0.5000 0.5000 0.5000

Computed properties:
Calculated density   4.11 g/cm³
Crystal system   tetragonal
Total energy   -4.82 eV per formula unit
Total moment   0.0 μB per cell
DOS at the Fermi energy   0.751 states/eV/atom